# Cd7InHg12

Cd7InHg12 after structural relaxation (GGA-PBE, Alexandria via LeMat-Bulk).

a = 9.404 Å, b = 9.404 Å, c = 9.404 Å
α = 109.47°, β = 109.47°, γ = 109.47°
Positions (direct):
Cd: 0.000 0.000 0.500
Cd: 0.000 0.500 0.000
Cd: 0.000 0.500 0.500
Cd: 0.500 0.000 0.000
Cd: 0.500 0.000 0.500
Cd: 0.500 0.500 0.000
Cd: 0.500 0.500 0.500
In: 0.000 0.000 0.000
Hg: 0.120 0.273 0.847
Hg: 0.153 0.426 0.273
Hg: 0.153 0.880 0.727
Hg: 0.273 0.153 0.426
Hg: 0.273 0.847 0.120
Hg: 0.426 0.273 0.153
Hg: 0.574 0.727 0.847
Hg: 0.727 0.153 0.880
Hg: 0.727 0.847 0.574
Hg: 0.847 0.120 0.273
Hg: 0.847 0.574 0.727
Hg: 0.880 0.727 0.153

As for the calculated density: 8.582 g cm⁻³. The density of states at the Fermi level is 0.193 states/eV/atom. Its total magnetic moment is 0.00 μB/cell. The total energy is -0.54 eV per atom. The value obtained for the formation energy is 2.0 eV/f.u.

# BeMo3I

BeMo3I after structural relaxation (GGA-PBE, Alexandria via LeMat-Bulk).

a = 4.385 Å, b = 4.385 Å, c = 4.385 Å
α = 90.00°, β = 90.00°, γ = 90.00°
Positions (direct):
Be: 0.000 0.000 0.000
Mo: 0.000 0.000 0.500
Mo: 0.000 0.500 0.000
Mo: 0.500 0.000 0.000
I: 0.500 0.500 0.500

As for the calculated density: 8.346 g cm⁻³. The density of states at the Fermi level is 1.658 states/eV/atom. Its total magnetic moment is 0.00 μB/cell. The total energy is -6.32 eV per atom. Its formation energy (no corrections) is 1.24 eV per atom.

# Pr3Nd4Th

Pr3Nd4Th after structural relaxation (GGA-PBE, Alexandria via LeMat-Bulk).

a = 12.117 Å, b = 12.117 Å, c = 7.028 Å
α = 106.83°, β = 106.83°, γ = 16.76°
Positions (direct):
Pr: 0.000 0.000 0.000
Pr: 0.123 0.123 0.859
Pr: 0.877 0.877 0.141
Nd: 0.122 0.122 0.386
Nd: 0.257 0.257 0.259
Nd: 0.743 0.743 0.741
Nd: 0.878 0.878 0.614
Th: 0.500 0.500 0.500

As for the calculated density: 7.189 g cm⁻³. The density of states at the Fermi level is 1.595 states/eV/atom. Its total magnetic moment is 0.00 μB/cell. The total energy is -4.95 eV per atom. The value obtained for the formation energy is 1.2 eV/f.u.

# K2UCdSe4

K2UCdSe4 after structural relaxation (GGA-PBE, Alexandria via LeMat-Bulk).

a = 7.336 Å, b = 4.214 Å, c = 8.090 Å
α = 90.00°, β = 109.01°, γ = 90.00°
Positions (direct):
K: 0.000 0.000 0.000
K: 0.500 0.500 0.000
U: 0.000 0.500 0.500
Cd: 0.500 0.000 0.500
Se: 0.220 0.000 0.712
Se: 0.264 0.500 0.306
Se: 0.736 0.500 0.694
Se: 0.780 0.000 0.288

As for the calculated density: 5.228 g cm⁻³. The density of states at the Fermi level is 0.507 states/eV/atom. Its total magnetic moment is 2.00 μB/cell. The total energy is -4.62 eV per atom. Its formation energy (no corrections) is -1.08 eV per atom.

# Rb2CuP2

Rb2CuP2 after structural relaxation (GGA-PBE, Alexandria via LeMat-Bulk).

a = 5.359 Å, b = 6.208 Å, c = 6.208 Å
α = 38.42°, β = 90.00°, γ = 90.00°
Positions (direct):
Rb: 0.000 0.000 0.000
Rb: 0.000 0.258 0.258
Cu: 0.500 0.429 0.429
P: 0.500 0.637 0.637
P: 0.500 0.826 0.826

As for the calculated density: 3.835 g cm⁻³. The density of states at the Fermi level is 0.745 states/eV/atom. Its total magnetic moment is 0.00 μB/cell. The total energy is -3.41 eV per atom. The value obtained for the formation energy is -0.2 eV/f.u.

# ScCr2I

ScCr2I after structural relaxation (GGA-PBE, Alexandria via LeMat-Bulk).

a = 6.361 Å, b = 6.361 Å, c = 6.361 Å
α = 102.31°, β = 102.31°, γ = 125.00°
Positions (direct):
Sc: 0.000 0.000 0.000
Sc: 0.750 0.250 0.500
Cr: 0.141 0.625 0.016
Cr: 0.375 0.391 0.516
Cr: 0.609 0.125 0.984
Cr: 0.875 0.859 0.484
I: 0.250 0.750 0.500
I: 0.500 0.500 0.000

As for the calculated density: 4.898 g cm⁻³. The density of states at the Fermi level is 1.508 states/eV/atom. Its total magnetic moment is 18.15 μB/cell. The total energy is -6.00 eV per atom. Its formation energy (no corrections) is 0.78 eV per atom.

# NdEuHgAu

NdEuHgAu after structural relaxation (GGA-PBE, Alexandria via LeMat-Bulk).

a = 5.359 Å, b = 5.359 Å, c = 5.359 Å
α = 60.00°, β = 60.00°, γ = 60.00°
Positions (direct):
Nd: 0.000 0.000 0.000
Eu: 0.500 0.500 0.500
Hg: 0.750 0.750 0.750
Au: 0.250 0.250 0.250

As for the calculated density: 10.588 g cm⁻³. The density of states at the Fermi level is 2.076 states/eV/atom. Its total magnetic moment is 7.26 μB/cell. The total energy is -5.28 eV per atom. The value obtained for the formation energy is -2.5 eV/f.u.

# MoRuCl2

MoRuCl2 after structural relaxation (GGA-PBE, Alexandria via LeMat-Bulk).

a = 4.473 Å, b = 4.473 Å, c = 4.473 Å
α = 117.58°, β = 102.36°, γ = 108.84°
Positions (direct):
Mo: 0.000 0.000 0.000
Ru: 0.239 0.739 0.500
Cl: 0.454 0.454 0.000
Cl: 0.776 0.276 0.500

As for the calculated density: 6.576 g cm⁻³. The density of states at the Fermi level is 0.902 states/eV/atom. Its total magnetic moment is 0.06 μB/cell. The total energy is -5.30 eV per atom. Its formation energy (no corrections) is 0.65 eV per atom.

# ZrTcP2O

ZrTcP2O after structural relaxation (GGA-PBE, Alexandria via LeMat-Bulk).

a = 5.125 Å, b = 5.125 Å, c = 3.934 Å
α = 90.00°, β = 90.00°, γ = 90.00°
Positions (direct):
Zr: 0.000 0.000 0.000
Tc: 0.500 0.500 0.500
P: 0.000 0.500 0.000
P: 0.500 0.000 0.000
O: 0.000 0.000 0.500

As for the calculated density: 4.293 g cm⁻³. The density of states at the Fermi level is 0.507 states/eV/atom. Its total magnetic moment is 3.16 μB/cell. The total energy is -6.86 eV per atom. Its formation energy (no corrections) is 0.08 eV per atom.

# Pu2GeRh

Pu2GeRh after structural relaxation (GGA-PBE, Alexandria via LeMat-Bulk).

a = 3.779 Å, b = 3.779 Å, c = 5.672 Å
α = 90.00°, β = 90.00°, γ = 90.00°
Positions (direct):
Pu: 0.000 0.000 0.248
Pu: 0.000 0.000 0.752
Ge: 0.500 0.500 0.500
Rh: 0.500 0.500 0.000

As for the calculated density: 13.602 g cm⁻³. The density of states at the Fermi level is 3.215 states/eV/atom. Its total magnetic moment is 10.28 μB/cell. The total energy is -10.64 eV per atom. The value obtained for the formation energy is -1.9 eV/f.u.

# Si3Hg

Si3Hg after structural relaxation (GGA-PBE, Alexandria via LeMat-Bulk).

a = 7.345 Å, b = 7.345 Å, c = 3.403 Å
α = 90.00°, β = 90.00°, γ = 120.00°
Positions (direct):
Si: 0.143 0.286 0.250
Si: 0.143 0.857 0.250
Si: 0.286 0.143 0.750
Si: 0.714 0.857 0.250
Si: 0.857 0.143 0.750
Si: 0.857 0.714 0.750
Hg: 0.333 0.667 0.750
Hg: 0.667 0.333 0.250

As for the calculated density: 5.949 g cm⁻³. The density of states at the Fermi level is 0.576 states/eV/atom. Its total magnetic moment is 0.00 μB/cell. The total energy is -3.67 eV per atom. Its formation energy (no corrections) is 0.47 eV per atom.

# TbYGe2

TbYGe2 after structural relaxation (GGA-PBE, Alexandria via LeMat-Bulk).

a = 3.981 Å, b = 5.798 Å, c = 5.798 Å
α = 43.55°, β = 90.00°, γ = 90.00°
Positions (direct):
Tb: 0.000 0.000 0.000
Y: 0.500 0.276 0.276
Ge: 0.000 0.723 0.723
Ge: 0.500 0.553 0.553

As for the calculated density: 7.080 g cm⁻³. The density of states at the Fermi level is 0.657 states/eV/atom. Its total magnetic moment is 0.00 μB/cell. The total energy is -5.97 eV per atom. The value obtained for the formation energy is -3.5 eV/f.u.

Among the records above, which one has the highest total magnetic moment? ScCr2I

Which value of total magnetic moment does entry 11 give? 0.00 μB/cell

What is the formula in the third record? Pr3Nd4Th

The highest total magnetic moment belongs to which entry? ScCr2I